The following is a GGA+U calculation of a relaxed structure of LiV2C4O12, from Alexandria via LeMat-Bulk.

E = -142.62 eV/f.u.
DOS(E_F) = 0.00 states/eV per atom

Cell: 5.530 8.083 6.714 Å, 94.94 66.18 104.35°
Last column: magnetic moment on the atom in μB.
Sites, in units of the cell vectors:
O1 0.851 0.760 0.074  -0.03
O2 0.021 0.281 0.411  -0.01
O3 0.201 0.238 0.837  -0.02
O4 0.832 0.069 0.236  -0.02
O5 0.255 0.847 0.077  -0.04
O6 0.786 0.747 0.596  -0.03
O7 0.091 0.942 0.694  -0.02
O8 0.628 0.282 0.400  -0.02
O9 0.013 0.580 0.205  -0.02
O10 0.444 0.152 0.975  -0.03
O11 0.608 0.411 0.808  -0.02
O12 0.136 0.669 0.606  -0.03
Li1 0.233 0.182 0.524  0.00
C1 0.828 0.209 0.345  0.01
C2 0.001 0.784 0.634  0.02
C3 0.425 0.275 0.871  0.01
C4 0.034 0.721 0.123  0.01
V1 0.864 0.501 0.511  1.95
V2 0.098 0.998 0.979  1.12